1.
## Y2Ho2Al (PBE)

Data for a geometry-optimized Y2Ho2Al structure.

The calculation puts the formation energy at 0.488 eV/atom. For the total energy, the calculation gives -4.68 eV/atom. Its crystal system is trigonal. Its space-group type is No. 166.

The structure in POSCAR format:
```
Y2Ho2Al
1.0
2.4709 1.4266 8.5524
-2.4709 1.4266 8.5524
0.0000 -2.8532 8.5524
Y Ho Al
2 2 1
Direct
0.0668 0.0668 0.0668
0.9332 0.9332 0.9332
0.1990 0.1990 0.1990
0.8010 0.8010 0.8010
0.5000 0.5000 0.5000
```

2.
## ZnAgBMo2 (PBE)

Data for a geometry-optimized ZnAgBMo2 structure.

The calculation puts the formation energy at 0.489 eV/atom. For the total energy, the calculation gives -6.00 eV/atom. Its crystal system is tetragonal. Its space-group type is No. 123.

The structure in POSCAR format:
```
ZnAgBMo2
1.0
4.1988 0.0000 0.0000
0.0000 4.1988 0.0000
0.0000 0.0000 4.2996
Zn Ag B Mo
1 1 1 2
Direct
0.0000 0.0000 0.0000
0.5000 0.5000 0.0000
0.5000 0.5000 0.5000
0.0000 0.5000 0.5000
0.5000 0.0000 0.5000
```

3.
## Cs2VSe2 (PBE)

Data for a geometry-optimized Cs2VSe2 structure.

For the total energy, the calculation gives -4.37 eV/atom. Its crystal system is orthorhombic. Its space-group type is No. 72.

The structure in POSCAR format:
```
Cs2VSe2
1.0
-3.9956 7.2610 3.1294
3.9956 -7.2610 3.1294
3.9956 7.2610 -3.1294
Cs V Se
4 2 4
Direct
0.1491 0.1625 0.3116
0.3509 0.6625 0.0133
0.6491 0.3375 0.9867
0.8509 0.8375 0.6884
0.2500 0.7500 0.5000
0.7500 0.2500 0.5000
0.0924 0.6704 0.7628
0.4076 0.1704 0.5780
0.5924 0.8296 0.4220
0.9076 0.3296 0.2372
```

4.
## KCa2Pb2 (PBE)

Data for a geometry-optimized KCa2Pb2 structure.

The calculation puts the formation energy at -0.250 eV/atom. For the total energy, the calculation gives -2.75 eV/atom. The energy above the lowest structure with this stoichiometry comes out at 0.150 eV per atom. Its crystal system is tetragonal. Its space-group type is No. 139.

The structure in POSCAR format:
```
KCa2Pb2
1.0
-2.7242 2.7242 6.7153
2.7242 -2.7242 6.7153
2.7242 2.7242 -6.7153
K Ca Pb
1 2 2
Direct
0.0000 0.0000 0.0000
0.2500 0.7500 0.5000
0.7500 0.2500 0.5000
0.3887 0.3887 0.0000
0.6113 0.6113 0.0000
```

5.
## PmZr2CoN4 (PBE)

Data for a geometry-optimized PmZr2CoN4 structure.

For the total energy, the calculation gives -9.03 eV/atom. Its crystal system is orthorhombic. Its space-group type is No. 63.

The structure in POSCAR format:
```
PmZr2CoN4
1.0
1.6292 -5.5427 0.0000
1.6292 5.5427 0.0000
0.0000 0.0000 11.1133
Pm Zr Co N
2 4 2 8
Direct
0.1072 0.8928 0.7500
0.8928 0.1072 0.2500
0.3677 0.6323 0.5535
0.3677 0.6323 0.9465
0.6323 0.3677 0.0535
0.6323 0.3677 0.4465
0.1560 0.8440 0.2500
0.8440 0.1560 0.7500
0.0000 0.0000 0.0000
0.0000 0.0000 0.5000
0.2684 0.7316 0.1161
0.2684 0.7316 0.3839
0.4398 0.5602 0.7500
0.5602 0.4398 0.2500
0.7316 0.2684 0.6161
0.7316 0.2684 0.8839
```